# PBE HoMgAl4Ir2, relaxed
data_HoMgAl4Ir2
_chemical_formula_sum 'Ho2 Mg2 Al8 Ir4'
_space_group_name_H-M_alt 'P 1'
_space_group_IT_number 1
_cell_length_a 6.327
_cell_length_b 4.772
_cell_length_c 14.400
_cell_angle_alpha 90.00
_cell_angle_beta 90.00
_cell_angle_gamma 90.00
loop_
_space_group_symop_operation_xyz
'x,y,z'
loop_
_atom_site_label
_atom_site_type_symbol
_atom_site_fract_x
_atom_site_fract_y
_atom_site_fract_z
_atom_site_occupancy
Ho1 Ho 0.000 0.000 0.000 1
Ho2 Ho 0.000 0.500 0.500 1
Mg1 Mg 0.000 0.000 0.218 1
Mg2 Mg 0.000 0.500 0.718 1
Al1 Al 0.283 0.000 0.687 1
Al2 Al 0.283 0.500 0.187 1
Al3 Al 0.301 0.000 0.497 1
Al4 Al 0.301 0.500 0.997 1
Al5 Al 0.699 0.000 0.497 1
Al6 Al 0.699 0.500 0.997 1
Al7 Al 0.717 0.000 0.687 1
Al8 Al 0.717 0.500 0.187 1
Ir1 Ir 0.000 0.000 0.398 1
Ir2 Ir 0.000 0.000 0.799 1
Ir3 Ir 0.000 0.500 0.299 1
Ir4 Ir 0.000 0.500 0.898 1
# **E_tot**: -4.6563 eV per atom
# **Total magnetic moment**: 0.21 Bohr magnetons per cell
# **ρ**: 5.21 Mg/m³

# PBE NdHoAlIr2, relaxed
data_NdHoAlIr2
_chemical_formula_sum 'Nd2 Ho2 Al2 Ir4'
_space_group_name_H-M_alt 'P 1'
_space_group_IT_number 1
_cell_length_a 4.133
_cell_length_b 5.871
_cell_length_c 8.670
_cell_angle_alpha 90.00
_cell_angle_beta 90.00
_cell_angle_gamma 90.00
loop_
_space_group_symop_operation_xyz
'x,y,z'
loop_
_atom_site_label
_atom_site_type_symbol
_atom_site_fract_x
_atom_site_fract_y
_atom_site_fract_z
_atom_site_occupancy
Nd1 Nd 0.000 0.000 0.000 1
Nd2 Nd 0.500 0.500 0.500 1
Ho1 Ho 0.000 0.000 0.603 1
Ho2 Ho 0.500 0.500 0.103 1
Al1 Al 0.000 0.500 0.802 1
Al2 Al 0.500 0.000 0.302 1
Ir1 Ir 0.000 0.258 0.302 1
Ir2 Ir 0.000 0.742 0.302 1
Ir3 Ir 0.500 0.242 0.802 1
Ir4 Ir 0.500 0.758 0.802 1
# **E_tot**: -7.0216 eV per atom
# **Total magnetic moment**: 0.00 Bohr magnetons per cell
# **ρ**: 11.38 Mg/m³